Here is a geometry-optimized Na2Be2NbO6 structure from Alexandria via LeMat-Bulk. Energies are from PBE.

a b c (Å): 5.3211 5.3211 6.0688
angles (deg): 90.00 90.00 120.00
With the nearest neighbours (Å) after each atom.
Atoms (fractional coordinates):
Na  0.3333  0.6667  0.3026  3 O 2.39
Na  0.6667  0.3333  0.6974  3 O 2.39
Be  0.3333  0.6667  0.8096  3 O 1.53
Be  0.6667  0.3333  0.1904  3 O 1.53
Nb  0.0000  0.0000  0.0000  6 O 2.01
O  0.1041  0.3452  0.8062  1 Be 1.53
O  0.2411  0.8959  0.8062  1 Be 1.53
O  0.3452  0.2411  0.1938  1 Be 1.53
O  0.6548  0.7589  0.8062  1 Be 1.53
O  0.7589  0.1041  0.1938  1 Be 1.53
O  0.8959  0.6548  0.1938  1 Be 1.53

Output
Its raw total energy is -6.61 eV/atom. The value obtained for the total magnetization is 0.10 μB per atom. Its uncorrected formation energy is -2.0753 eV/atom. Its crystal system is trigonal.